VASP calculation (PBE) on a relaxed Li2CdAu4 crystal.

Structure (POSCAR):
```
Li2CdAu4
1.0
-2.6450 2.6450 5.3450
2.6450 -2.6450 5.3450
2.6450 2.6450 -5.3450
Li Cd Au
2 1 4
Direct
0.1565 0.1565 0.0000
0.8435 0.8435 0.0000
0.5000 0.5000 0.0000
0.0000 0.5000 0.5000
0.2500 0.7500 0.5000
0.5000 0.0000 0.5000
0.7500 0.2500 0.5000
```

Computed properties:
* crystal system: tetragonal
* ΔE to the lowest computed polymorph: 70 meV/atom
* formation energy from the elements: -189 meV/atom
* space group: I4/mmm

VASP calculation (PBE) on a relaxed LiAcSi2Pt2 crystal.

Structure (POSCAR):
```
LiAcSi2Pt2
1.0
4.2647 0.0000 0.0000
-2.1323 3.6933 0.0000
0.0000 0.0000 7.1705
Li Ac Si Pt
1 1 2 2
Direct
0.0000 0.0000 0.0000
0.0000 0.0000 0.5000
0.3333 0.6667 0.7997
0.6667 0.3333 0.2003
0.3333 0.6667 0.1456
0.6667 0.3333 0.8544
```

Computed properties:
* crystal system: trigonal
* energy relative to the elements, uncorrected: -0.946 eV per atom
* space group: P-3m1

VASP calculation (PBE) on a relaxed PmPuAgAu crystal.

Structure (POSCAR):
```
PmPuAgAu
1.0
3.6653 0.0000 0.0000
0.0000 3.6653 0.0000
0.0000 0.0000 7.4386
Pm Pu Ag Au
1 1 1 1
Direct
0.0000 0.0000 0.0000
0.0000 0.0000 0.5149
0.5000 0.5000 0.2538
0.5000 0.5000 0.7625
```

Computed properties:
* crystal system: tetragonal
* ΔE to the lowest computed polymorph: 0 meV/atom
* formation energy from the elements: -335 meV/atom
* space group: P4mm